[1]
The following is a PBE-GGA calculation of a geometry-optimized Ac3Pr3Sm2 structure, from Alexandria.

The structure belongs to space group Pmmm (No. 47); the cell edges are 5.385, 5.402 and 10.593 Å and the angles 90.00°, 90.00° and 90.00°. The inequivalent atoms are Ac at (0.000, 0.000, 0.000), Ac at (0.000, 0.000, 0.500), Ac at (0.500, 0.500, 0.000), Pr at (0.000, 0.500, 0.254), Pr at (0.500, 0.500, 0.500) and Sm at (0.500, 0.000, 0.254).

The value obtained for the final energy is -35.887 eV per cell. The calculation puts the offset from the most stable computed form at 0.00 eV/f.u. The magnetization comes out at 0.0 Bohr magnetons per cell. As for the density of states at the Fermi level: 13.4 states/eV/f.u. Its formation energy from the elements is 27 meV/atom.

***

[2]
The following is a PBE-GGA calculation of a geometry-optimized AcPr2Sm8 structure, from Alexandria.

The structure belongs to space group Immm (No. 71); the cell edges are 5.647, 8.494 and 16.359 Å and the angles 90.00°, 90.00° and 90.00°. The inequivalent atoms are Ac at (0.000, 0.000, 0.000), Pr at (0.000, 0.000, 0.300), Sm at (0.000, 0.204, 0.500), Sm at (0.000, 0.296, 0.144) and Sm at (0.000, 0.500, 0.341).

The value obtained for the final energy is -100.147 eV per cell. The calculation puts the offset from the most stable computed form at 0.00 eV/f.u. The magnetization comes out at 0.0 Bohr magnetons per cell. As for the density of states at the Fermi level: 15.4 states/eV/f.u. Its formation energy from the elements is 122 meV/atom.

***

[3]
The following is a PBE-GGA calculation of a geometry-optimized Ac8Pr2Sm3 structure, from Alexandria.

The structure belongs to space group C2/m (No. 12); the cell edges are 20.194, 7.817 and 6.824 Å and the angles 90.00°, 90.64° and 90.00°. The inequivalent atoms are Ac at (0.049, 0.000, 0.299), Ac at (0.153, 0.243, 0.702), Ac at (0.162, 0.500, 0.210), Pr at (0.207, 0.000, 0.166), Sm at (0.000, 0.302, 0.000) and Sm at (0.000, 0.500, 0.500).

The value obtained for the final energy is -108.404 eV per cell. The calculation puts the offset from the most stable computed form at 0.00 eV/f.u. The magnetization comes out at 0.0 Bohr magnetons per cell. As for the density of states at the Fermi level: 17.6 states/eV/f.u. Its formation energy from the elements is 183 meV/atom.